(1)
Compound: Nd2Ga2Co15
Source: Alexandria
Functional: PBEsol
Structure: relaxed

a = 6.2553 Å, b = 6.2553 Å, c = 6.2553 Å
α = 83.15°, β = 83.15°, γ = 83.15°
Fractional positions:
Nd (0.1485, 0.1485, 0.1485)
Nd (0.8515, 0.8515, 0.8515)
Ga (0.3939, 0.3939, 0.3939)
Ga (0.6061, 0.6061, 0.6061)
Co (0.0000, 0.5000, 0.5000)
Co (0.1516, 0.1516, 0.6486)
Co (0.1516, 0.6486, 0.1516)
Co (0.2138, 0.5000, 0.7862)
Co (0.2138, 0.7862, 0.5000)
Co (0.3514, 0.8484, 0.8484)
Co (0.5000, 0.0000, 0.5000)
Co (0.5000, 0.2138, 0.7862)
Co (0.5000, 0.5000, 0.0000)
Co (0.5000, 0.7862, 0.2138)
Co (0.6486, 0.1516, 0.1516)
Co (0.7862, 0.2138, 0.5000)
Co (0.7862, 0.5000, 0.2138)
Co (0.8484, 0.3514, 0.8484)
Co (0.8484, 0.8484, 0.3514)

Computed properties:
V (Å³/cell): 239.90
Raw total energy (eV per cell): -134.57
E_form (eV/f.u.): -1.499
Size of the total moment (μB per formula unit): 19.848
Space-group type: R-3m (166)

(2)
Compound: CaZnPb
Source: Alexandria
Functional: PBEsol
Structure: relaxed

a = 4.6871 Å, b = 4.6871 Å, c = 15.3673 Å
α = 90.00°, β = 90.00°, γ = 120.00°
Fractional positions:
Ca (0.0000, 0.0000, 0.0000)
Ca (0.0000, 0.0000, 0.2500)
Ca (0.0000, 0.0000, 0.5000)
Ca (0.0000, 0.0000, 0.7500)
Zn (0.3333, 0.6667, 0.1560)
Zn (0.3333, 0.6667, 0.3440)
Zn (0.6667, 0.3333, 0.6560)
Zn (0.6667, 0.3333, 0.8440)
Pb (0.3333, 0.6667, 0.6137)
Pb (0.3333, 0.6667, 0.8863)
Pb (0.6667, 0.3333, 0.1137)
Pb (0.6667, 0.3333, 0.3863)

Computed properties:
V (Å³/cell): 292.37
Raw total energy (eV per cell): -34.97
E_form (eV/f.u.): -1.030
Size of the total moment (μB per formula unit): 0.000
Space-group type: P6_3/mmc (194)

(3)
Compound: CuSn
Source: Alexandria
Functional: PBEsol
Structure: relaxed

a = 4.1140 Å, b = 4.1140 Å, c = 4.9809 Å
α = 90.00°, β = 90.00°, γ = 120.00°
Fractional positions:
Cu (0.0000, 0.0000, 0.0000)
Cu (0.0000, 0.0000, 0.5000)
Sn (0.3333, 0.6667, 0.2500)
Sn (0.6667, 0.3333, 0.7500)

Computed properties:
V (Å³/cell): 73.01
Raw total energy (eV per cell): -17.39
E_form (eV/f.u.): -0.103
Size of the total moment (μB per formula unit): 0.000
Space-group type: P6_3/mmc (194)

Going through the records in order, we get ρ values of 9.08; 7.10; 8.29 g cm⁻³.